<one>
! GGA-PBE CaIr2Rh, relaxed; values from VASP
&SYSTEM
  ibrav = 0, nat = 4, ntyp = 3
/
ATOMIC_SPECIES
Ca 40.08 Ca.upf
Ir 192.22 Ir.upf
Rh 102.91 Rh.upf
CELL_PARAMETERS angstrom
2.858 0.000 0.000
0.000 4.700 0.000
0.000 0.000 4.864
ATOMIC_POSITIONS angstrom
Ca 0.000 0.000 0.000
Ir 0.000 2.350 2.432
Ir 1.429 0.000 2.432
Rh 1.429 2.350 0.000
! - M_tot (μB/f.u.) = 0.0

=====

<two>
! GGA-PBE CaIr2Rh, relaxed; values from VASP
&SYSTEM
  ibrav = 0, nat = 4, ntyp = 3
/
ATOMIC_SPECIES
Ca 40.08 Ca.upf
Ir 192.22 Ir.upf
Rh 102.91 Rh.upf
CELL_PARAMETERS angstrom
2.813 0.000 0.000
0.000 3.920 0.000
0.000 0.000 6.191
ATOMIC_POSITIONS angstrom
Ca 0.000 0.000 0.000
Ir 0.000 0.000 3.017
Ir 1.407 1.960 1.904
Rh 1.407 1.960 4.501
! - M_tot (μB/f.u.) = 0.0

=====

<three>
! GGA-PBE CaIr2Rh, relaxed; values from VASP
&SYSTEM
  ibrav = 0, nat = 4, ntyp = 3
/
ATOMIC_SPECIES
Ca 40.08 Ca.upf
Ir 192.22 Ir.upf
Rh 102.91 Rh.upf
CELL_PARAMETERS angstrom
0.000 3.220 3.220
3.220 0.000 3.220
3.220 3.220 0.000
ATOMIC_POSITIONS angstrom
Ca 0.000 0.000 0.000
Ir 1.610 1.610 1.610
Ir 4.830 4.830 4.830
Rh 3.220 3.220 3.220
! - M_tot (μB/f.u.) = 0.0

=====

<four>
! GGA-PBE CaIr2Rh, relaxed; values from VASP
&SYSTEM
  ibrav = 0, nat = 4, ntyp = 3
/
ATOMIC_SPECIES
Ca 40.08 Ca.upf
Ir 192.22 Ir.upf
Rh 102.91 Rh.upf
CELL_PARAMETERS angstrom
4.703 -1.415 0.000
4.703 1.415 0.000
-0.918 0.000 5.039
ATOMIC_POSITIONS angstrom
Ca 0.000 0.000 0.000
Ir 1.632 0.000 3.362
Ir 4.232 0.000 2.587
Rh 6.928 0.000 1.236
! - M_tot (μB/f.u.) = 0.0

=====

Each structure's energy above the most stable one, in meV/atom: <one> 98; <two> 52; <three> 373; <four> 0.

=====

<one>
! GGA-PBE CaIr2Rh2, relaxed; values from VASP
&SYSTEM
  ibrav = 0, nat = 5, ntyp = 3
/
ATOMIC_SPECIES
Ca 40.08 Ca.upf
Ir 192.22 Ir.upf
Rh 102.91 Rh.upf
CELL_PARAMETERS angstrom
-2.058 2.058 5.456
2.058 -2.058 5.456
2.058 2.058 -5.456
ATOMIC_POSITIONS angstrom
Ca 0.000 0.000 0.000
Ir 0.000 0.000 4.292
Ir 0.000 0.000 6.619
Rh 2.058 0.000 2.728
Rh 0.000 2.058 2.728
! - M_tot (μB/f.u.) = 0.0

=====

<two>
! GGA-PBE CaIr2Rh2, relaxed; values from VASP
&SYSTEM
  ibrav = 0, nat = 10, ntyp = 3
/
ATOMIC_SPECIES
Ca 40.08 Ca.upf
Ir 192.22 Ir.upf
Rh 102.91 Rh.upf
CELL_PARAMETERS angstrom
7.731 0.000 0.000
0.000 7.731 0.000
0.000 0.000 2.787
ATOMIC_POSITIONS angstrom
Ca 0.000 0.000 0.000
Ca 3.866 3.866 0.000
Ir 0.919 2.946 0.000
Ir 2.946 6.812 0.000
Ir 4.785 0.919 0.000
Ir 6.812 4.785 0.000
Rh 1.394 5.260 1.393
Rh 2.471 1.394 1.393
Rh 5.260 6.337 1.393
Rh 6.337 2.471 1.393
! - M_tot (μB/f.u.) = 0.0

=====

Each structure's energy above the most stable one, in meV/atom: <one> 52; <two> 0.

=====

<one>
! GGA-PBE CaIrRu3, relaxed; values from VASP
&SYSTEM
  ibrav = 0, nat = 5, ntyp = 3
/
ATOMIC_SPECIES
Ca 40.08 Ca.upf
Ir 192.22 Ir.upf
Ru 101.07 Ru.upf
CELL_PARAMETERS angstrom
4.754 0.000 0.000
0.000 4.754 0.000
0.000 0.000 4.754
ATOMIC_POSITIONS angstrom
Ca 0.000 0.000 0.000
Ir 2.377 2.377 2.377
Ru 0.000 2.377 2.377
Ru 2.377 0.000 2.377
Ru 2.377 2.377 0.000
! - M_tot (μB/f.u.) = 0.6

=====

<two>
! GGA-PBE CaIrRu3, relaxed; values from VASP
&SYSTEM
  ibrav = 0, nat = 5, ntyp = 3
/
ATOMIC_SPECIES
Ca 40.08 Ca.upf
Ir 192.22 Ir.upf
Ru 101.07 Ru.upf
CELL_PARAMETERS angstrom
4.506 0.000 0.000
0.000 4.506 0.000
0.000 0.000 4.506
ATOMIC_POSITIONS angstrom
Ca 0.000 0.000 0.000
Ir 2.253 2.253 2.253
Ru 0.000 0.000 2.253
Ru 0.000 2.253 0.000
Ru 2.253 0.000 0.000
! - M_tot (μB/f.u.) = 0.0

=====

Each structure's energy above the most stable one, in meV/atom: <one> 0; <two> 1464.

=====

<one>
! GGA-PBE CaIrRu, relaxed; values from VASP
&SYSTEM
  ibrav = 0, nat = 3, ntyp = 3
/
ATOMIC_SPECIES
Ca 40.08 Ca.upf
Ir 192.22 Ir.upf
Ru 101.07 Ru.upf
CELL_PARAMETERS angstrom
0.000 3.143 3.143
3.143 0.000 3.143
3.143 3.143 0.000
ATOMIC_POSITIONS angstrom
Ca 0.000 0.000 0.000
Ir 1.571 1.571 1.571
Ru 4.714 4.714 4.714
! - M_tot (μB/f.u.) = 1.9

=====

<two>
! GGA-PBE CaIrRu, relaxed; values from VASP
&SYSTEM
  ibrav = 0, nat = 3, ntyp = 3
/
ATOMIC_SPECIES
Ca 40.08 Ca.upf
Ir 192.22 Ir.upf
Ru 101.07 Ru.upf
CELL_PARAMETERS angstrom
0.000 3.134 3.134
3.134 0.000 3.134
3.134 3.134 0.000
ATOMIC_POSITIONS angstrom
Ca 0.000 0.000 0.000
Ir 1.567 1.567 1.567
Ru 3.134 3.134 3.134
! - M_tot (μB/f.u.) = 0.5

=====

Each structure's energy above the most stable one, in meV/atom: <one> 890; <two> 0.

=====

<one>
! GGA-PBE CaIrRu, relaxed; values from VASP
&SYSTEM
  ibrav = 0, nat = 3, ntyp = 3
/
ATOMIC_SPECIES
Ca 40.08 Ca.upf
Ir 192.22 Ir.upf
Ru 101.07 Ru.upf
CELL_PARAMETERS angstrom
-1.442 1.442 6.426
1.442 -1.442 6.426
1.442 1.442 -6.426
ATOMIC_POSITIONS angstrom
Ca 0.000 0.000 0.000
Ir 0.000 0.000 4.059
Ru 0.000 0.000 8.863
! - M_tot (μB/f.u.) = 0.0

=====

<two>
! GGA-PBE CaIrRu, relaxed; values from VASP
&SYSTEM
  ibrav = 0, nat = 6, ntyp = 3
/
ATOMIC_SPECIES
Ca 40.08 Ca.upf
Ir 192.22 Ir.upf
Ru 101.07 Ru.upf
CELL_PARAMETERS angstrom
4.247 -2.799 0.000
4.247 2.799 0.000
-1.353 0.000 4.744
ATOMIC_POSITIONS angstrom
Ca 0.611 0.000 1.829
Ca 6.529 0.000 2.915
Ir 2.123 1.400 0.000
Ir 2.123 -1.400 0.000
Ru 3.889 0.000 1.235
Ru 3.251 0.000 3.509
! - M_tot (μB/f.u.) = 0.0

=====

Each structure's energy above the most stable one, in meV/atom: <one> 0; <two> 23.

=====

<one>
! GGA-PBE CaIrRu, relaxed; values from VASP
&SYSTEM
  ibrav = 0, nat = 3, ntyp = 3
/
ATOMIC_SPECIES
Ca 40.08 Ca.upf
Ir 192.22 Ir.upf
Ru 101.07 Ru.upf
CELL_PARAMETERS angstrom
2.916 0.000 0.000
-1.458 2.525 0.000
0.000 0.000 7.084
ATOMIC_POSITIONS angstrom
Ca 0.000 0.000 0.000
Ir 0.000 1.684 2.505
Ru 1.458 0.842 4.555
! - M_tot (μB/f.u.) = 0.0

=====

<two>
! GGA-PBE CaIrRu, relaxed; values from VASP
&SYSTEM
  ibrav = 0, nat = 3, ntyp = 3
/
ATOMIC_SPECIES
Ca 40.08 Ca.upf
Ir 192.22 Ir.upf
Ru 101.07 Ru.upf
CELL_PARAMETERS angstrom
4.605 0.000 0.000
-2.302 3.988 0.000
0.000 0.000 2.889
ATOMIC_POSITIONS angstrom
Ca 0.000 0.000 0.000
Ir 2.302 1.329 1.445
Ru 0.000 2.658 1.445
! - M_tot (μB/f.u.) = 0.0

=====

Each structure's energy above the most stable one, in meV/atom: <one> 260; <two> 0.

=====

<one>
! GGA-PBE Ca2TcIrRu, relaxed; values from VASP
&SYSTEM
  ibrav = 0, nat = 5, ntyp = 4
/
ATOMIC_SPECIES
Ca 40.08 Ca.upf
Tc 98.00 Tc.upf
Ir 192.22 Ir.upf
Ru 101.07 Ru.upf
CELL_PARAMETERS angstrom
5.320 0.000 0.000
0.000 5.320 0.000
0.000 0.000 4.700
ATOMIC_POSITIONS angstrom
Ca 0.000 2.660 0.000
Ca 2.660 0.000 0.000
Tc 0.000 0.000 2.350
Ir 0.000 0.000 0.000
Ru 2.660 2.660 2.350
! - M_tot (μB/f.u.) = 3.4

=====

<two>
! GGA-PBE Ca2TcIrRu, relaxed; values from VASP
&SYSTEM
  ibrav = 0, nat = 5, ntyp = 4
/
ATOMIC_SPECIES
Ca 40.08 Ca.upf
Tc 98.00 Tc.upf
Ir 192.22 Ir.upf
Ru 101.07 Ru.upf
CELL_PARAMETERS angstrom
5.222 0.000 0.000
0.000 5.222 0.000
0.000 0.000 4.623
ATOMIC_POSITIONS angstrom
Ca 0.000 2.611 0.000
Ca 2.611 0.000 0.000
Tc 0.000 0.000 0.000
Ir 0.000 0.000 2.311
Ru 2.611 2.611 2.311
! - M_tot (μB/f.u.) = 2.2

=====

Each structure's energy above the most stable one, in meV/atom: <one> 0; <two> 199.

=====

<one>
! GGA-PBE CaIrS2, relaxed; values from VASP
&SYSTEM
  ibrav = 0, nat = 8, ntyp = 3
/
ATOMIC_SPECIES
Ca 40.08 Ca.upf
Ir 192.22 Ir.upf
S 32.06 S.upf
CELL_PARAMETERS angstrom
-2.764 2.764 6.181
2.764 -2.764 6.181
2.764 2.764 -6.181
ATOMIC_POSITIONS angstrom
Ca 0.000 0.000 0.000
Ca 0.000 2.764 3.090
Ir 2.764 0.000 3.090
Ir 0.000 0.000 6.181
S 1.382 -1.006 4.635
S 1.758 1.382 1.545
S 1.382 3.770 -1.545
S 1.006 1.382 7.726
! - M_tot (μB/f.u.) = 0.0

=====

<two>
! GGA-PBE CaIrS2, relaxed; values from VASP
&SYSTEM
  ibrav = 0, nat = 4, ntyp = 3
/
ATOMIC_SPECIES
Ca 40.08 Ca.upf
Ir 192.22 Ir.upf
S 32.06 S.upf
CELL_PARAMETERS angstrom
0.000 3.241 3.241
3.241 0.000 3.241
3.241 3.241 0.000
ATOMIC_POSITIONS angstrom
Ca 0.000 0.000 0.000
Ir 3.241 3.241 3.241
S 1.621 1.621 1.621
S 4.862 4.862 4.862
! - M_tot (μB/f.u.) = 0.0

=====

Each structure's energy above the most stable one, in meV/atom: <one> 0; <two> 411.